Computed, not measured: an optimized crystal structure of TaSi2Tc at the PBE-GGA level of DFT.

abc: 5.0423 5.0423 5.0423
angles: 145.81 122.02 69.06
Fractional positions:
Ta1 0.0000 0.0000 0.0000
Si1 0.2633 0.7633 0.5000
Si2 0.7367 0.2367 0.5000
Tc1 0.5000 0.5000 0.0000

As for the space-group type: Immm (71). Its total energy is -8.390 eV per atom. As for the uncorrected formation energy: -0.12 eV/atom.



Computed, not measured: an optimized crystal structure of MnCd2Se2 at the PBE-GGA level of DFT.

abc: 7.5933 7.5933 3.8522
angles: 90.00 90.00 90.00
Fractional positions:
Mn1 0.0000 0.0000 0.0000
Mn2 0.5000 0.5000 0.0000
Cd1 0.1344 0.3656 0.0000
Cd2 0.3656 0.8656 0.0000
Cd3 0.6344 0.1344 0.0000
Cd4 0.8656 0.6344 0.0000
Se1 0.1772 0.6772 0.5000
Se2 0.3228 0.1772 0.5000
Se3 0.6772 0.8228 0.5000
Se4 0.8228 0.3228 0.5000

As for the space-group type: P4/mbm (127). Its total energy is -3.446 eV per atom. As for the uncorrected formation energy: 0.15 eV/atom.